[1]
The following is a DFT calculation (PBE-GGA) of crystalline Si2As at its relaxed geometry.

## Properties
* space-group type: C2/m
* spin magnetization: 0.00 μB per formula unit
* relative energy among the computed polymorphs: 0.097 eV per atom
* D(E_F): 0.5659 states/eV per atom

```
Si2As
1.0
3.847 -4.079 1.602
5.479 -1.830 -0.801
4.575 1.081 4.119
Si As
4 2
Cartesian
3.419 0.135 2.449 Si
8.233 -4.140 1.715 Si
10.481 -4.963 2.471 Si
5.668 -0.687 3.205 Si
7.996 -1.425 4.096 As
5.905 -3.403 0.824 As
```

[2]
The following is a DFT calculation (PBE-GGA) of crystalline Mn2BeIr at its relaxed geometry.

## Properties
* space-group type: P2/m
* spin magnetization: 0.00 μB per formula unit
* D(E_F): 0.9207 states/eV per atom
* energy relative to the elements: -0.146 eV per atom

```
Mn2BeIr
1.0
-0.209 -2.982 -2.228
0.718 -1.527 1.975
-3.746 -2.087 3.145
Be Ir Mn
1 1 2
Cartesian
-0.862 -2.394 0.166 Be
-2.375 -4.202 2.726 Ir
0.580 -1.546 2.014 Mn
-1.376 -1.788 2.521 Mn
```

Computed total DFT energy (no corrections) (eV for the cell shown) in order:
-29.45, -31.51